Record 1
Below is Be2AsAu after structural relaxation, with properties calculated at the PBE level.

## Properties
ΔH_f (0 K) (meV/atom): 166
Space-group type: P2/m (10)
N(E_F) (states/eV per atom): 0.188
Mass density (Mg/m³): 8.32
Total energy (eV per atom): -3.679

Unit cell a=2.966 b=3.310 c=5.897 alpha=90.00 beta=92.45 gamma=90.00
Fractional positions:
1 Be 0.010 0.000 0.207
2 Be 0.990 0.000 0.793
3 As 0.000 0.500 0.500
4 Au 0.500 0.500 0.000

Record 2
Below is LiMgZr2 after structural relaxation, with properties calculated at the PBE level.

## Properties
ΔH_f (0 K) (meV/atom): 146
Space-group type: Pm (6)
N(E_F) (states/eV per atom): 0.904
Mass density (Mg/m³): 4.08
Total energy (eV per atom): -5.005

Unit cell a=2.998 b=4.667 c=6.328 alpha=90.00 beta=100.82 gamma=90.00
Fractional positions:
1 Li 0.000 0.000 0.000
2 Mg 0.401 0.500 0.227
3 Zr 0.563 0.500 0.729
4 Zr 0.985 0.000 0.512

Record 3
Below is CaTi4Cu3O12 after structural relaxation, with properties calculated at the PBE level.

## Properties
Space-group type: Im-3m (229)
N(E_F) (states/eV per atom): 0.785
Mass density (Mg/m³): 4.43
Total energy (eV per atom): -7.175

Unit cell a=6.690 b=6.690 c=6.690 alpha=109.47 beta=109.47 gamma=109.47
Fractional positions:
1 Ca 0.000 0.000 0.000
2 Ti 0.000 0.000 0.500
3 Ti 0.000 0.500 0.000
4 Ti 0.500 0.000 0.000
5 Ti 0.500 0.500 0.500
6 Cu 0.000 0.500 0.500
7 Cu 0.500 0.000 0.500
8 Cu 0.500 0.500 0.000
9 O 0.000 0.247 0.753
10 O 0.000 0.753 0.247
11 O 0.247 0.000 0.753
12 O 0.247 0.247 0.495
13 O 0.247 0.495 0.247
14 O 0.247 0.753 0.000
15 O 0.495 0.247 0.247
16 O 0.505 0.753 0.753
17 O 0.753 0.000 0.247
18 O 0.753 0.247 0.000
19 O 0.753 0.505 0.753
20 O 0.753 0.753 0.505

Record 4
Below is V2Ga2FeNi7 after structural relaxation, with properties calculated at the PBE level.

## Properties
ΔH_f (0 K) (meV/atom): 72
Space-group type: C2/m (12)
N(E_F) (states/eV per atom): 0.933
Mass density (Mg/m³): 7.68
Total energy (eV per atom): -6.030

Unit cell a=3.317 b=3.317 c=14.092 alpha=96.63 beta=96.63 gamma=90.00
Fractional positions:
1 V 0.131 0.131 0.267
2 V 0.869 0.869 0.733
3 Ga 0.316 0.316 0.627
4 Ga 0.684 0.684 0.373
5 Fe 0.500 0.500 0.000
6 Ni 0.000 0.000 0.000
7 Ni 0.067 0.567 0.137
8 Ni 0.223 0.223 0.449
9 Ni 0.433 0.933 0.863
10 Ni 0.567 0.067 0.137
11 Ni 0.777 0.777 0.551
12 Ni 0.933 0.433 0.863

Record 5
Below is MoRuAu2 after structural relaxation, with properties calculated at the PBE level.

## Properties
ΔH_f (0 K) (meV/atom): 540
Space-group type: P4/mmm (123)
N(E_F) (states/eV per atom): 0.887
Mass density (Mg/m³): 14.93
Total energy (eV per atom): -6.126

Unit cell a=4.790 b=4.790 c=2.864 alpha=90.00 beta=90.00 gamma=90.00
Fractional positions:
1 Mo 0.000 0.000 0.000
2 Ru 0.500 0.500 0.000
3 Au 0.000 0.500 0.500
4 Au 0.500 0.000 0.500

Record 6
Below is YSiIr2 after structural relaxation, with properties calculated at the PBE level.

## Properties
Space-group type: R3m (160)
N(E_F) (states/eV per atom): 0.742
Mass density (Mg/m³): 11.05
Total energy (eV per atom): -8.002

Unit cell a=5.712 b=5.712 c=5.712 alpha=41.97 beta=41.97 gamma=41.97
Fractional positions:
1 Y 0.000 0.000 0.000
2 Si 0.810 0.810 0.810
3 Ir 0.204 0.204 0.204
4 Ir 0.445 0.445 0.445